PaZnIrOs | PBE | optimized geometry

Properties
Total DFT energy (no corrections)   -0.292 Ha/atom
Crystal system   cubic
Size of the total moment   0.00 Bohr magnetons per cell
DOS at the Fermi energy   0.679 states/eV per atom

a = 4.656 Å, b = 4.656 Å, c = 4.656 Å
α = 60.00°, β = 60.00°, γ = 60.00°
Sites, in units of the cell vectors:
Os: 0.500 0.500 0.500
Pa: 0.750 0.750 0.750
Zn: 0.250 0.250 0.250
Ir: 0.000 0.000 0.000



IrOsPb2 | PBE | optimized geometry

Properties
Crystal system   cubic
Energy relative to the lowest polymorph listed for this composition   401.9 meV/atom
Size of the total moment   0.56 Bohr magnetons per cell
DOS at the Fermi energy   0.959 states/eV per atom

a = 4.779 Å, b = 4.779 Å, c = 4.779 Å
α = 60.00°, β = 60.00°, γ = 60.00°
Sites, in units of the cell vectors:
Pb: 0.250 0.250 0.250
Pb: 0.750 0.750 0.750
Ir: 0.500 0.500 0.500
Os: 0.000 0.000 0.000